one.
The following is a PBE calculation of a geometry-optimized MnAgOs2 structure, from the Alexandria database.

## Properties
DOS at the Fermi energy: 1.032 states/eV per atom
Crystal system: cubic

Cell: 6.1556 6.1556 6.1556 Å, 90.00 90.00 90.00°
Space group Fm-3m (No. 225)
Asymmetric unit:
1 Mn 0.0000 0.0000 0.0000 x4
2 Ag 0.0000 0.0000 0.5000 x4
3 Os 0.2500 0.2500 0.2500 x8

two.
The following is a PBE calculation of a geometry-optimized MnAgOs2 structure, from the Alexandria database.

## Properties
DOS at the Fermi energy: 1.000 states/eV per atom
Crystal system: orthorhombic

Cell: 5.3760 7.8975 2.7656 Å, 90.00 90.00 90.00°
Space group Cmmm (No. 65)
Asymmetric unit:
1 Mn 0.0000 0.0000 0.0000 x2
2 Ag 0.0000 0.5000 0.0000 x2
3 Os 0.2500 0.2500 0.5000 x4

Of them, the most stable is two and the least stable is one.

one.
The following is a PBE calculation of a geometry-optimized Mn3AgP structure, from the Alexandria database.

## Properties
DOS at the Fermi energy: 0.809 states/eV per atom
Crystal system: cubic

Cell: 4.8265 4.8265 4.8265 Å, 90.00 90.00 90.00°
Space group Pm-3m (No. 221)
Asymmetric unit:
1 Mn 0.0000 0.0000 0.5000 x3
2 Ag 0.0000 0.0000 0.0000 x1
3 P 0.5000 0.5000 0.5000 x1

two.
The following is a PBE calculation of a geometry-optimized Mn3AgP structure, from the Alexandria database.

## Properties
DOS at the Fermi energy: 1.282 states/eV per atom
Crystal system: cubic

Cell: 4.1498 4.1498 4.1498 Å, 90.00 90.00 90.00°
Space group Pm-3m (No. 221)
Asymmetric unit:
1 Mn 0.0000 0.0000 0.5000 x3
2 Ag 0.5000 0.5000 0.5000 x1
3 P 0.0000 0.0000 0.0000 x1

Of them, the most stable is two and the least stable is one.

one.
The following is a PBE calculation of a geometry-optimized MnAgPb2 structure, from the Alexandria database.

## Properties
DOS at the Fermi energy: 1.141 states/eV per atom
Crystal system: cubic

Cell: 6.9606 6.9606 6.9606 Å, 90.00 90.00 90.00°
Space group Fm-3m (No. 225)
Asymmetric unit:
1 Mn 0.0000 0.0000 0.0000 x4
2 Ag 0.0000 0.0000 0.5000 x4
3 Pb 0.2500 0.2500 0.2500 x8

two.
The following is a PBE calculation of a geometry-optimized MnAgPb2 structure, from the Alexandria database.

## Properties
DOS at the Fermi energy: 0.583 states/eV per atom
Crystal system: monoclinic

Cell: 11.2879 3.3248 5.2091 Å, 90.00 108.55 90.00°
Space group Cm (No. 8)
Asymmetric unit:
1 Mn 0.0000 0.0000 0.0000 x2
2 Ag 0.2018 0.5000 0.3108 x2
3 Pb 0.2536 0.0000 0.8550 x2
4 Pb 0.4705 0.0000 0.4905 x2

three.
The following is a PBE calculation of a geometry-optimized MnAgPb2 structure, from the Alexandria database.

## Properties
DOS at the Fermi energy: 0.546 states/eV per atom
Crystal system: cubic

Cell: 7.3171 7.3171 7.3171 Å, 90.00 90.00 90.00°
Space group F-43m (No. 216)
Asymmetric unit:
1 Mn 0.0000 0.0000 0.0000 x4
2 Ag 0.2500 0.2500 0.2500 x4
3 Pb 0.0000 0.0000 0.5000 x4
4 Pb 0.2500 0.2500 0.7500 x4

Of them, the most stable is two and the least stable is one.

one.
The following is a PBE calculation of a geometry-optimized MnAgPb2 structure, from the Alexandria database.

## Properties
DOS at the Fermi energy: 0.774 states/eV per atom
Crystal system: tetragonal

Cell: 3.3864 3.3864 8.3026 Å, 90.00 90.00 90.00°
Space group P4mm (No. 99)
Asymmetric unit:
1 Mn 0.0000 0.0000 0.0000 x1
2 Ag 0.5000 0.5000 0.8299 x1
3 Pb 0.0000 0.0000 0.5820 x1
4 Pb 0.5000 0.5000 0.2322 x1

two.
The following is a PBE calculation of a geometry-optimized MnAgPb2 structure, from the Alexandria database.

## Properties
DOS at the Fermi energy: 0.408 states/eV per atom
Crystal system: orthorhombic

Cell: 7.2279 7.4854 3.4232 Å, 90.00 90.00 90.00°
Space group Cmmm (No. 65)
Asymmetric unit:
1 Mn 0.0000 0.0000 0.0000 x2
2 Ag 0.0000 0.5000 0.0000 x2
3 Pb 0.2500 0.2500 0.5000 x4

Of them, the most stable is one and the least stable is two.

one.
The following is a PBE calculation of a geometry-optimized MnAgPd3 structure, from the Alexandria database.

## Properties
DOS at the Fermi energy: 0.376 states/eV per atom
Crystal system: monoclinic

Cell: 4.8843 4.5691 7.4717 Å, 90.00 109.02 90.00°
Space group P2_1/m (No. 11)
Asymmetric unit:
1 Mn 0.2363 0.2500 0.3072 x2
2 Ag 0.3670 0.7500 0.8983 x2
3 Pd 0.0272 0.2500 0.8977 x2
4 Pd 0.1670 0.7500 0.5006 x2
5 Pd 0.4318 0.2500 0.6941 x2

two.
The following is a PBE calculation of a geometry-optimized MnAgPd3 structure, from the Alexandria database.

## Properties
DOS at the Fermi energy: 0.533 states/eV per atom
Crystal system: cubic

Cell: 4.6426 4.6426 4.6426 Å, 90.00 90.00 90.00°
Space group Pm-3m (No. 221)
Asymmetric unit:
1 Mn 0.0000 0.0000 0.0000 x1
2 Ag 0.5000 0.5000 0.5000 x1
3 Pd 0.0000 0.0000 0.5000 x3

Of them, the most stable is one and the least stable is two.

one.
The following is a PBE calculation of a geometry-optimized MnAgPd3 structure, from the Alexandria database.

## Properties
DOS at the Fermi energy: 0.742 states/eV per atom
Crystal system: orthorhombic

Cell: 4.5397 12.7487 5.6281 Å, 90.00 90.00 90.00°
Space group Cmcm (No. 63)
Asymmetric unit:
1 Mn 0.0000 0.1264 0.2500 x4
2 Ag 0.0000 0.1148 0.7500 x4
3 Pd 0.0000 0.3129 0.0010 x8
4 Pd 0.0000 0.4962 0.7500 x4

two.
The following is a PBE calculation of a geometry-optimized MnAgPd3 structure, from the Alexandria database.

## Properties
DOS at the Fermi energy: 0.769 states/eV per atom
Crystal system: cubic

Cell: 4.8806 4.8806 4.8806 Å, 90.00 90.00 90.00°
Space group Pm-3m (No. 221)
Asymmetric unit:
1 Mn 0.0000 0.0000 0.0000 x1
2 Ag 0.5000 0.5000 0.5000 x1
3 Pd 0.0000 0.5000 0.5000 x3

Of them, the most stable is one and the least stable is two.

one.
The following is a PBE calculation of a geometry-optimized MnAgPd6 structure, from the Alexandria database.

## Properties
DOS at the Fermi energy: 1.104 states/eV per atom
Crystal system: tetragonal

Cell: 3.9565 3.9565 7.9291 Å, 90.00 90.00 90.00°
Space group P4/mmm (No. 123)
Asymmetric unit:
1 Mn 0.0000 0.0000 0.0000 x1
2 Ag 0.0000 0.0000 0.5000 x1
3 Pd 0.0000 0.5000 0.2423 x4
4 Pd 0.5000 0.5000 0.0000 x1
5 Pd 0.5000 0.5000 0.5000 x1

two.
The following is a PBE calculation of a geometry-optimized MnAgPd6 structure, from the Alexandria database.

## Properties
DOS at the Fermi energy: 0.866 states/eV per atom
Crystal system: trigonal

Cell: 9.1017 9.1017 5.4104 Å, 90.00 90.00 120.00°
Space group R-3m (No. 166, hexagonal axes)
Asymmetric unit:
1 Mn 0.0000 0.0000 0.0000 x3
2 Ag 0.0000 0.0000 0.5000 x3
3 Pd 0.0081 0.5041 0.7523 x18

Of them, the most stable is one and the least stable is two.

one.
The following is a PBE calculation of a geometry-optimized MnAg2Pd2 structure, from the Alexandria database.

## Properties
DOS at the Fermi energy: 0.282 states/eV per atom
Crystal system: tetragonal

Cell: 6.6403 6.6403 4.0299 Å, 90.00 90.00 90.00°
Space group P4/mbm (No. 127)
Asymmetric unit:
1 Mn 0.0000 0.0000 0.0000 x2
2 Ag 0.1608 0.3392 0.5000 x4
3 Pd 0.1412 0.6412 0.0000 x4

two.
The following is a PBE calculation of a geometry-optimized MnAg2Pd2 structure, from the Alexandria database.

## Properties
DOS at the Fermi energy: 0.333 states/eV per atom
Crystal system: tetragonal

Cell: 3.6995 3.6995 13.5487 Å, 90.00 90.00 90.00°
Space group I4/mmm (No. 139)
Asymmetric unit:
1 Mn 0.0000 0.0000 0.0000 x2
2 Ag 0.0000 0.5000 0.2500 x4
3 Pd 0.0000 0.0000 0.4052 x4

Of them, the most stable is one and the least stable is two.

one.
The following is a PBE calculation of a geometry-optimized MnAg2Pd6 structure, from the Alexandria database.

## Properties
DOS at the Fermi energy: 1.063 states/eV per atom
Crystal system: trigonal

Cell: 7.7724 7.7724 2.7653 Å, 90.00 90.00 120.00°
Space group P-31m (No. 162)
Asymmetric unit:
1 Mn 0.0000 0.0000 0.0000 x1
2 Ag 0.3333 0.6667 0.5000 x2
3 Pd 0.0000 0.3240 0.2293 x6

two.
The following is a PBE calculation of a geometry-optimized MnAg2Pd6 structure, from the Alexandria database.

## Properties
DOS at the Fermi energy: 1.266 states/eV per atom
Crystal system: monoclinic

Cell: 4.8758 13.9885 4.6912 Å, 90.00 117.93 90.00°
Space group C2/m (No. 12)
Asymmetric unit:
1 Mn 0.0000 0.0000 0.0000 x2
2 Ag 0.0000 0.1747 0.5000 x4
3 Pd 0.1785 0.3439 0.8448 x8
4 Pd 0.1868 0.5000 0.3436 x4

Of them, the most stable is one and the least stable is two.

one.
The following is a PBE calculation of a geometry-optimized MnAgPd4 structure, from the Alexandria database.

## Properties
DOS at the Fermi energy: 0.731 states/eV per atom
Crystal system: monoclinic

Cell: 9.5901 5.7109 7.0307 Å, 90.00 102.84 90.00°
Space group C2/m (No. 12)
Asymmetric unit:
1 Mn 0.1315 0.0000 0.3284 x4
2 Ag 0.1343 0.5000 0.3339 x4
3 Pd 0.0000 0.2462 0.0000 x4
4 Pd 0.1158 0.2459 0.6650 x8
5 Pd 0.2495 0.0000 0.0057 x4

two.
The following is a PBE calculation of a geometry-optimized MnAgPd4 structure, from the Alexandria database.

## Properties
DOS at the Fermi energy: 0.971 states/eV per atom
Crystal system: orthorhombic

Cell: 2.8375 3.8995 8.4975 Å, 90.00 90.00 90.00°
Space group Pmmm (No. 47)
Asymmetric unit:
1 Mn 0.0000 0.0000 0.0000 x1
2 Ag 0.5000 0.5000 0.5000 x1
3 Pd 0.0000 0.0000 0.3253 x2
4 Pd 0.5000 0.5000 0.1596 x2

Of them, the most stable is one and the least stable is two.

one.
The following is a PBE calculation of a geometry-optimized MnAgPt structure, from the Alexandria database.

## Properties
DOS at the Fermi energy: 0.461 states/eV per atom
Crystal system: cubic

Cell: 6.0335 6.0335 6.0335 Å, 90.00 90.00 90.00°
Space group F-43m (No. 216)
Asymmetric unit:
1 Mn 0.0000 0.0000 0.0000 x4
2 Ag 0.2500 0.2500 0.7500 x4
3 Pt 0.2500 0.2500 0.2500 x4

two.
The following is a PBE calculation of a geometry-optimized MnAgPt structure, from the Alexandria database.

## Properties
DOS at the Fermi energy: 0.390 states/eV per atom
Crystal system: tetragonal

Cell: 2.9881 2.9881 10.8793 Å, 90.00 90.00 90.00°
Space group I4mm (No. 107)
Asymmetric unit:
1 Mn 0.0000 0.0000 0.0000 x2
2 Ag 0.0000 0.0000 0.6741 x2
3 Pt 0.0000 0.0000 0.3571 x2

Of them, the most stable is two and the least stable is one.

one.
The following is a PBE calculation of a geometry-optimized Mn2Ag2Pt structure, from the Alexandria database.

## Properties
DOS at the Fermi energy: 0.872 states/eV per atom
Crystal system: tetragonal

Cell: 3.0560 3.0560 16.6959 Å, 90.00 90.00 90.00°
Space group I4/mmm (No. 139)
Asymmetric unit:
1 Mn 0.0000 0.5000 0.2500 x4
2 Ag 0.0000 0.0000 0.1110 x4
3 Pt 0.0000 0.0000 0.5000 x2

two.
The following is a PBE calculation of a geometry-optimized Mn2Ag2Pt structure, from the Alexandria database.

## Properties
DOS at the Fermi energy: 0.502 states/eV per atom
Crystal system: tetragonal

Cell: 7.4443 7.4443 3.0161 Å, 90.00 90.00 90.00°
Space group P4/mbm (No. 127)
Asymmetric unit:
1 Mn 0.1721 0.3279 0.0000 x4
2 Ag 0.1291 0.6291 0.5000 x4
3 Pt 0.0000 0.0000 0.5000 x2

Of them, the most stable is two and the least stable is one.